Entry 1:
First-principles (PBE) data for a geometry-optimized CoNiRu2 structure, as listed in Alexandria via LeMat-Bulk.

- Space-group type: P4/mmm (123)
- Formation energy: 0.17 eV/atom
- Mass density: 10.7 g/cm3

abc: 3.6895 3.6895 3.6622
angles: 90.00 90.00 90.00
Atoms (fractional coordinates):
Co1 0.0000 0.0000 0.0000
Ni1 0.5000 0.5000 0.0000
Ru1 0.0000 0.5000 0.5000
Ru2 0.5000 0.0000 0.5000

Entry 2:
First-principles (PBE) data for a geometry-optimized Co2NiRu2 structure, as listed in Alexandria via LeMat-Bulk.

- Space-group type: P4/mbm (127)
- Formation energy: 0.44 eV/atom
- Mass density: 9.7 g/cm3
- Energy above the lowest structure with this stoichiometry: 46.4 kJ/mol of formula units

abc: 7.0454 7.0454 2.6252
angles: 90.00 90.00 90.00
Atoms (fractional coordinates):
Co1 0.1664 0.3336 0.0000
Co2 0.3336 0.8336 0.0000
Co3 0.6664 0.1664 0.0000
Co4 0.8336 0.6664 0.0000
Ni1 0.0000 0.0000 0.5000
Ni2 0.5000 0.5000 0.5000
Ru1 0.1302 0.6302 0.5000
Ru2 0.3698 0.1302 0.5000
Ru3 0.6302 0.8698 0.5000
Ru4 0.8698 0.3698 0.5000

Entry 3:
First-principles (PBE) data for a geometry-optimized Co2NiRu structure, as listed in Alexandria via LeMat-Bulk.

- Space-group type: I-4m2 (119)
- Formation energy: 0.14 eV/atom
- Mass density: 9.8 g/cm3

abc: 4.4089 4.4089 4.4089
angles: 131.59 131.59 70.88
Atoms (fractional coordinates):
Co1 0.0000 0.0000 0.0000
Co2 0.7500 0.2500 0.5000
Ni1 0.5000 0.5000 0.0000
Ru1 0.2500 0.7500 0.5000

Entry 4:
First-principles (PBE) data for a geometry-optimized CoNi2Ru structure, as listed in Alexandria via LeMat-Bulk.

- Space-group type: R-3m (166)
- Formation energy: 0.14 eV/atom
- Mass density: 9.7 g/cm3
- Energy above the lowest structure with this stoichiometry: 12.5 kJ/mol of formula units

abc: 8.4152 8.4152 8.4152
angles: 17.61 17.61 17.61
Atoms (fractional coordinates):
Co1 0.0000 0.0000 0.0000
Ni1 0.2528 0.2528 0.2528
Ni2 0.7472 0.7472 0.7472
Ru1 0.5000 0.5000 0.5000

Entry 5:
First-principles (PBE) data for a geometry-optimized Co2NiRu structure, as listed in Alexandria via LeMat-Bulk.

- Space-group type: F-43m (216)
- Formation energy: 0.27 eV/atom
- Mass density: 9.5 g/cm3

abc: 4.0936 4.0936 4.0936
angles: 60.00 60.00 60.00
Atoms (fractional coordinates):
Co1 0.0000 0.0000 0.0000
Co2 0.2500 0.2500 0.2500
Ni1 0.5000 0.5000 0.5000
Ru1 0.7500 0.7500 0.7500

Entry 6:
First-principles (PBE) data for a geometry-optimized CoNiRu2 structure, as listed in Alexandria via LeMat-Bulk.

- Space-group type: P4mm (99)
- Formation energy: 0.15 eV/atom
- Mass density: 10.6 g/cm3

abc: 2.6504 2.6504 7.1582
angles: 90.00 90.00 90.00
Atoms (fractional coordinates):
Co1 0.0000 0.0000 0.0000
Ni1 0.5000 0.5000 0.2286
Ru1 0.0000 0.0000 0.4848
Ru2 0.5000 0.5000 0.7478

Entry 7:
First-principles (PBE) data for a geometry-optimized Co2NiRu structure, as listed in Alexandria via LeMat-Bulk.

- Space-group type: Cmmm (65)
- Formation energy: 0.29 eV/atom
- Mass density: 9.4 g/cm3

abc: 2.5392 2.5392 8.4268
angles: 90.00 90.00 115.88
Atoms (fractional coordinates):
Co1 0.0000 0.0000 0.2405
Co2 0.0000 0.0000 0.7595
Ni1 0.5000 0.5000 0.0000
Ru1 0.5000 0.5000 0.5000

Entry 8:
First-principles (PBE) data for a geometry-optimized Co2NiRu structure, as listed in Alexandria via LeMat-Bulk.

- Space-group type: P4mm (99)
- Formation energy: 0.22 eV/atom
- Mass density: 9.7 g/cm3

abc: 2.9501 2.9501 5.4430
angles: 90.00 90.00 90.00
Atoms (fractional coordinates):
Co1 0.0000 0.0000 0.0000
Co2 0.5000 0.5000 0.2247
Ni1 0.0000 0.0000 0.4591
Ru1 0.5000 0.5000 0.7221

Entry 9:
First-principles (PBE) data for a geometry-optimized CoNi2Ru structure, as listed in Alexandria via LeMat-Bulk.

- Space-group type: P4/mmm (123)
- Formation energy: 0.13 eV/atom
- Mass density: 9.7 g/cm3
- Energy above the lowest structure with this stoichiometry: 7.3 kJ/mol of formula units

abc: 2.5478 2.5478 7.2885
angles: 90.00 90.00 90.00
Atoms (fractional coordinates):
Co1 0.0000 0.0000 0.0000
Ni1 0.5000 0.5000 0.2392
Ni2 0.5000 0.5000 0.7608
Ru1 0.0000 0.0000 0.5000

Entry 10:
First-principles (PBE) data for a geometry-optimized CoNi6Ru structure, as listed in Alexandria via LeMat-Bulk.

- Space-group type: P-1 (2)
- Formation energy: 0.15 eV/atom
- Mass density: 9.2 g/cm3

abc: 4.5229 4.5247 4.5253
angles: 90.32 90.97 90.31
Atoms (fractional coordinates):
Co1 0.0000 0.0000 0.0000
Ni1 0.0051 0.4979 0.7515
Ni2 0.2486 0.9987 0.5075
Ni3 0.4973 0.7515 0.0018
Ni4 0.5027 0.2485 0.9982
Ni5 0.7514 0.0013 0.4925
Ni6 0.9949 0.5021 0.2485
Ru1 0.5000 0.5000 0.5000

Entry 11:
First-principles (PBE) data for a geometry-optimized CoNi2Ru structure, as listed in Alexandria via LeMat-Bulk.

- Space-group type: I-42d (122)
- Formation energy: 0.62 eV/atom
- Mass density: 8.9 g/cm3
- Energy above the lowest structure with this stoichiometry: 197.2 kJ/mol of formula units

abc: 5.1941 5.1941 5.1941
angles: 103.07 103.07 123.20
Atoms (fractional coordinates):
Co1 0.0000 0.0000 0.0000
Co2 0.7500 0.2500 0.5000
Ni1 0.1087 0.6250 0.9837
Ni2 0.3750 0.3587 0.4837
Ni3 0.6413 0.1250 0.0163
Ni4 0.8750 0.8913 0.5163
Ru1 0.2500 0.7500 0.5000
Ru2 0.5000 0.5000 0.0000

Entry 12:
First-principles (PBE) data for a geometry-optimized CoNiRu3 structure, as listed in Alexandria via LeMat-Bulk.

- Space-group type: Pm-3m (221)
- Formation energy: 1.82 eV/atom
- Mass density: 8.4 g/cm3
- Energy above the lowest structure with this stoichiometry: 95.7 kJ/mol of formula units

abc: 4.3699 4.3699 4.3699
angles: 90.00 90.00 90.00
Atoms (fractional coordinates):
Co1 0.0000 0.0000 0.0000
Ni1 0.5000 0.5000 0.5000
Ru1 0.0000 0.5000 0.5000
Ru2 0.5000 0.0000 0.5000
Ru3 0.5000 0.5000 0.0000

Entry 13:
First-principles (PBE) data for a geometry-optimized Co2NiRu structure, as listed in Alexandria via LeMat-Bulk.

- Space-group type: P4mm (99)
- Formation energy: 0.12 eV/atom
- Mass density: 9.8 g/cm3

abc: 2.5669 2.5669 7.1514
angles: 90.00 90.00 90.00
Atoms (fractional coordinates):
Co1 0.0000 0.0000 0.0000
Co2 0.5000 0.5000 0.2333
Ni1 0.0000 0.0000 0.4759
Ru1 0.5000 0.5000 0.7398

Entry 14:
First-principles (PBE) data for a geometry-optimized Co2NiRu structure, as listed in Alexandria via LeMat-Bulk.

- Space-group type: I-42d (122)
- Formation energy: 0.68 eV/atom
- Mass density: 9.2 g/cm3

abc: 5.1215 5.1215 5.1215
angles: 104.11 104.11 120.83
Atoms (fractional coordinates):
Co1 0.1241 0.6250 0.9991
Co2 0.3750 0.3741 0.4991
Co3 0.6259 0.1250 0.0009
Co4 0.8750 0.8759 0.5009
Ni1 0.2500 0.7500 0.5000
Ni2 0.5000 0.5000 0.0000
Ru1 0.0000 0.0000 0.0000
Ru2 0.7500 0.2500 0.5000

Entry 15:
First-principles (PBE) data for a geometry-optimized Co2Ni2Ru structure, as listed in Alexandria via LeMat-Bulk.

- Space-group type: P4/mbm (127)
- Formation energy: 0.25 eV/atom
- Mass density: 9.4 g/cm3
- Energy above the lowest structure with this stoichiometry: 10.3 kJ/mol of formula units

abc: 6.8425 6.8425 2.5383
angles: 90.00 90.00 90.00
Atoms (fractional coordinates):
Co1 0.1203 0.3797 0.0000
Co2 0.3797 0.8797 0.0000
Co3 0.6203 0.1203 0.0000
Co4 0.8797 0.6203 0.0000
Ni1 0.1763 0.6763 0.5000
Ni2 0.3237 0.1763 0.5000
Ni3 0.6763 0.8237 0.5000
Ni4 0.8237 0.3237 0.5000
Ru1 0.0000 0.0000 0.0000
Ru2 0.5000 0.5000 0.0000

Entry 16:
First-principles (PBE) data for a geometry-optimized Co2NiRu structure, as listed in Alexandria via LeMat-Bulk.

- Space-group type: Immm (71)
- Formation energy: 0.24 eV/atom
- Mass density: 9.6 g/cm3

abc: 4.9544 4.9544 4.9544
angles: 149.22 128.74 60.99
Atoms (fractional coordinates):
Co1 0.2414 0.2414 0.0000
Co2 0.7586 0.7586 0.0000
Ni1 0.0000 0.5000 0.5000
Ru1 0.5000 0.0000 0.5000

Entry 17:
First-principles (PBE) data for a geometry-optimized Co2NiRu structure, as listed in Alexandria via LeMat-Bulk.

- Space-group type: Pmm2 (25)
- Formation energy: 0.11 eV/atom
- Mass density: 9.8 g/cm3

abc: 2.5559 4.1195 4.4709
angles: 90.00 90.00 90.00
Atoms (fractional coordinates):
Co1 0.0000 0.0000 0.0000
Co2 0.5000 0.5000 0.1636
Ni1 0.0000 0.5000 0.6747
Ru1 0.5000 0.0000 0.5001

Entry 18:
First-principles (PBE) data for a geometry-optimized CoNiRu2 structure, as listed in Alexandria via LeMat-Bulk.

- Space-group type: Cmmm (65)
- Formation energy: 0.38 eV/atom
- Mass density: 10.2 g/cm3

abc: 2.5924 2.5924 8.6490
angles: 90.00 90.00 116.83
Atoms (fractional coordinates):
Co1 0.0000 0.0000 0.0000
Ni1 0.0000 0.0000 0.5000
Ru1 0.5000 0.5000 0.2495
Ru2 0.5000 0.5000 0.7505

Entry 19:
First-principles (PBE) data for a geometry-optimized Co2NiRu structure, as listed in Alexandria via LeMat-Bulk.

- Space-group type: P4/mmm (123)
- Formation energy: 0.14 eV/atom
- Mass density: 9.8 g/cm3

abc: 3.6191 3.6191 3.5844
angles: 90.00 90.00 90.00
Atoms (fractional coordinates):
Co1 0.0000 0.5000 0.0000
Co2 0.5000 0.0000 0.0000
Ni1 0.0000 0.0000 0.5000
Ru1 0.5000 0.5000 0.5000

Entry 20:
First-principles (PBE) data for a geometry-optimized Co2NiRu2 structure, as listed in Alexandria via LeMat-Bulk.

- Space-group type: P4/mbm (127)
- Formation energy: 0.35 eV/atom
- Mass density: 10.0 g/cm3
- Energy above the lowest structure with this stoichiometry: 0.0 kJ/mol of formula units

abc: 6.9170 6.9170 2.6372
angles: 90.00 90.00 90.00
Atoms (fractional coordinates):
Co1 0.1191 0.3809 0.0000
Co2 0.3809 0.8809 0.0000
Co3 0.6191 0.1191 0.0000
Co4 0.8809 0.6191 0.0000
Ni1 0.0000 0.0000 0.0000
Ni2 0.5000 0.5000 0.0000
Ru1 0.1767 0.6767 0.5000
Ru2 0.3233 0.1767 0.5000
Ru3 0.6767 0.8233 0.5000
Ru4 0.8233 0.3233 0.5000

Entry 21:
First-principles (PBE) data for a geometry-optimized CoNiRu2 structure, as listed in Alexandria via LeMat-Bulk.

- Space-group type: R-3m (166)
- Formation energy: 0.19 eV/atom
- Mass density: 10.5 g/cm3

abc: 8.5553 8.5553 8.5553
angles: 17.70 17.70 17.70
Atoms (fractional coordinates):
Co1 0.0000 0.0000 0.0000
Ni1 0.5000 0.5000 0.5000
Ru1 0.2510 0.2510 0.2510
Ru2 0.7490 0.7490 0.7490

Entry 22:
First-principles (PBE) data for a geometry-optimized CoNi2Ru structure, as listed in Alexandria via LeMat-Bulk.

- Space-group type: P2/m (10)
- Formation energy: 0.13 eV/atom
- Mass density: 9.8 g/cm3
- Energy above the lowest structure with this stoichiometry: 7.6 kJ/mol of formula units

abc: 2.5375 3.6644 5.0691
angles: 90.00 90.11 90.00
Atoms (fractional coordinates):
Co1 0.0000 0.0000 0.0000
Ni1 0.4993 0.5000 0.2441
Ni2 0.5007 0.5000 0.7559
Ru1 0.0000 0.0000 0.5000

Entry 23:
First-principles (PBE) data for a geometry-optimized Co2NiRu structure, as listed in Alexandria via LeMat-Bulk.

- Space-group type: Pmmm (47)
- Formation energy: 0.14 eV/atom
- Mass density: 9.9 g/cm3

abc: 2.5668 3.5702 5.0675
angles: 90.00 90.00 90.00
Atoms (fractional coordinates):
Co1 0.0000 0.0000 0.2441
Co2 0.0000 0.0000 0.7559
Ni1 0.5000 0.5000 0.0000
Ru1 0.5000 0.5000 0.5000

Entry 24:
First-principles (PBE) data for a geometry-optimized Co2NiRu structure, as listed in Alexandria via LeMat-Bulk.

- Space-group type: R-3m (166)
- Formation energy: 0.15 eV/atom
- Mass density: 9.7 g/cm3

abc: 8.3842 8.3842 8.3842
angles: 17.72 17.72 17.72
Atoms (fractional coordinates):
Co1 0.2474 0.2474 0.2474
Co2 0.7526 0.7526 0.7526
Ni1 0.5000 0.5000 0.5000
Ru1 0.0000 0.0000 0.0000

Entry 25:
First-principles (PBE) data for a geometry-optimized Co2NiRu structure, as listed in Alexandria via LeMat-Bulk.

- Space-group type: Cmmm (65)
- Formation energy: 0.14 eV/atom
- Mass density: 9.8 g/cm3

abc: 4.4381 4.4381 2.5451
angles: 90.00 90.00 109.70
Atoms (fractional coordinates):
Co1 0.0000 0.5000 0.0000
Co2 0.5000 0.0000 0.0000
Ni1 0.0000 0.0000 0.5000
Ru1 0.5000 0.5000 0.5000

Entry 26:
First-principles (PBE) data for a geometry-optimized CoNiRu2 structure, as listed in Alexandria via LeMat-Bulk.

- Space-group type: Cmm2 (35)
- Formation energy: 0.38 eV/atom
- Mass density: 10.2 g/cm3

abc: 2.6045 2.6045 8.6336
angles: 90.00 90.00 117.05
Atoms (fractional coordinates):
Co1 0.0000 0.0000 0.0000
Ni1 0.5000 0.5000 0.2331
Ru1 0.0000 0.0000 0.4850
Ru2 0.5000 0.5000 0.7497

Entry 27:
First-principles (PBE) data for a geometry-optimized CoNi2Ru structure, as listed in Alexandria via LeMat-Bulk.

- Space-group type: Fm-3m (225)
- Formation energy: 0.29 eV/atom
- Mass density: 9.8 g/cm3
- Energy above the lowest structure with this stoichiometry: 69.5 kJ/mol of formula units

abc: 4.0524 4.0524 4.0524
angles: 60.00 60.00 60.00
Atoms (fractional coordinates):
Co1 0.0000 0.0000 0.0000
Ni1 0.2500 0.2500 0.2500
Ni2 0.7500 0.7500 0.7500
Ru1 0.5000 0.5000 0.5000

Entry 28:
First-principles (PBE) data for a geometry-optimized CoNi2Ru structure, as listed in Alexandria via LeMat-Bulk.

- Space-group type: Cm (8)
- Formation energy: 0.11 eV/atom
- Mass density: 9.8 g/cm3
- Energy above the lowest structure with this stoichiometry: 1.1 kJ/mol of formula units

abc: 4.4129 4.4129 4.4441
angles: 99.14 99.14 33.37
Atoms (fractional coordinates):
Co1 0.0000 0.0000 0.0000
Ni1 0.2530 0.2530 0.7498
Ni2 0.5024 0.5024 0.5081
Ru1 0.7508 0.7508 0.2473

Entry 29:
First-principles (PBE) data for a geometry-optimized Co2NiRu structure, as listed in Alexandria via LeMat-Bulk.

- Space-group type: C2/m (12)
- Formation energy: 0.13 eV/atom
- Mass density: 9.8 g/cm3

abc: 4.4128 4.4128 4.4424
angles: 99.10 99.10 33.44
Atoms (fractional coordinates):
Co1 0.2492 0.2492 0.2435
Co2 0.7508 0.7508 0.7565
Ni1 0.5000 0.5000 0.0000
Ru1 0.0000 0.0000 0.5000

| no. | total magnetic moment (Bohr magnetons per cell) |
| --- | --- |
| 1 | 1.81 |
| 2 | 5.47 |
| 3 | 4.05 |
| 4 | 2.69 |
| 5 | 5.51 |
| 6 | 2.04 |
| 7 | 4.92 |
| 8 | 3.97 |
| 9 | 3.34 |
| 10 | 5.50 |
| 11 | 8.19 |
| 12 | 3.73 |
| 13 | 3.95 |
| 14 | 0.04 |
| 15 | 10.96 |
| 16 | 4.83 |
| 17 | 3.82 |
| 18 | 3.01 |
| 19 | 4.18 |
| 20 | 2.44 |
| 21 | 1.24 |
| 22 | 2.87 |
| 23 | 2.61 |
| 24 | 3.93 |
| 25 | 3.84 |
| 26 | 3.37 |
| 27 | 0.60 |
| 28 | 2.34 |
| 29 | 3.56 |